No. 1
{"formula": "BeZnAsBr2", "functional": "GGA-PBE", "state": "optimized geometry", "lattice": [[5.115, 0.000, 0.000], [0.000, 5.115, 0.000], [0.000, 0.000, 5.089]], "species": ["Be", "As", "Zn", "Br", "Br"], "fractional_positions": [[0.500, 0.500, 0.500], [0.000, 0.000, 0.500], [0.000, 0.000, 0.000], [0.000, 0.500, 0.000], [0.500, 0.000, 0.000]], "raw_formation_energy_kj_per_mol_atoms": 65.6, "final_energy_ev_per_cell": -9.6}

No. 2
{"formula": "Er4AlCd2Ag", "functional": "GGA-PBE", "state": "optimized geometry", "lattice": [[-1.333, 4.831, -1.251], [-0.063, 1.461, -4.955], [-8.535, -0.284, -2.668]], "species": ["Er", "Er", "Er", "Er", "Al", "Cd", "Cd", "Ag"], "fractional_positions": [[0.375, 0.375, 0.875], [0.875, 0.875, 0.374], [0.125, 0.125, 0.626], [0.625, 0.625, 0.125], [0.000, 0.000, 0.000], [0.749, 0.749, 0.753], [0.251, 0.251, 0.247], [0.500, 0.500, 0.500]], "final_energy_ev_per_cell": -29.3, "formation_energy_ev_per_atom": -0.3302}

No. 3
{"formula": "Ba2RhPb2", "functional": "GGA-PBE", "state": "optimized geometry", "lattice": [[7.652, 0.000, 0.000], [0.000, 7.652, 0.000], [0.000, 0.000, 5.560]], "species": ["Pb", "Pb", "Pb", "Pb", "Rh", "Rh", "Ba", "Ba", "Ba", "Ba"], "fractional_positions": [[0.352, 0.852, 0.000], [0.852, 0.648, 0.000], [0.648, 0.148, 0.000], [0.148, 0.352, 0.000], [0.000, 0.000, 0.000], [0.500, 0.500, 0.000], [0.168, 0.668, 0.500], [0.668, 0.832, 0.500], [0.832, 0.332, 0.500], [0.332, 0.168, 0.500]], "final_energy_ev_per_cell": -39.5, "formation_energy_ev_per_atom": -0.2303}

No. 4
{"formula": "Ac2Pm4NdSm2", "functional": "GGA-PBE", "state": "optimized geometry", "lattice": [[3.768, 0.000, 0.000], [-1.884, 9.707, -0.481], [0.000, -3.887, 9.230]], "species": ["Ac", "Ac", "Pm", "Pm", "Pm", "Pm", "Nd", "Sm", "Sm"], "fractional_positions": [[0.853, 0.706, 0.333], [0.147, 0.294, 0.667], [0.817, 0.634, 0.670], [0.183, 0.366, 0.330], [0.518, 0.036, 0.323], [0.482, 0.964, 0.677], [0.000, 0.000, 0.000], [0.334, 0.668, 0.995], [0.666, 0.332, 0.005]], "final_energy_ev_per_cell": -41.1, "formation_energy_ev_per_atom": 0.0320}

No. 5
{"formula": "Hf2VCrI", "functional": "GGA-PBE", "state": "optimized geometry", "lattice": [[5.204, 0.000, 0.000], [0.000, 4.750, 0.000], [0.000, 0.000, 5.204]], "species": ["I", "Cr", "Hf", "Hf", "V"], "fractional_positions": [[0.000, 0.000, 0.000], [0.000, 0.500, 0.000], [0.000, 0.000, 0.500], [0.500, 0.000, 0.000], [0.500, 0.500, 0.500]], "raw_formation_energy_kj_per_mol_atoms": 152.2, "final_energy_ev_per_cell": -32.3}

No. 6
{"formula": "NiTeSe", "functional": "GGA-PBE", "state": "optimized geometry", "lattice": [[-1.868, 0.854, 3.956], [2.082, -1.201, 3.754], [1.755, 3.110, 2.668]], "species": ["Ni", "Se", "Te"], "fractional_positions": [[0.750, 0.750, 0.750], [0.000, 0.000, 0.000], [0.500, 0.500, 0.500]], "raw_formation_energy_kj_per_mol_atoms": 8.2, "final_energy_ev_per_cell": -12.2}

No. 7
{"formula": "SrLiAg", "functional": "GGA-PBE", "state": "optimized geometry", "lattice": [[-4.378, -1.701, 0.127], [2.510, 0.326, 3.959], [-1.562, 4.069, 0.656]], "species": ["Sr", "Ag", "Li"], "fractional_positions": [[0.333, 0.667, 0.667], [0.000, 0.000, 0.167], [0.667, 0.333, 0.166]], "final_energy_ev_per_cell": -7.0, "formation_energy_ev_per_atom": -0.1961}

No. 8
{"formula": "Ba2SbSe2O2", "functional": "GGA-PBE", "state": "optimized geometry", "lattice": [[-4.156, 0.838, -1.473], [-0.401, -4.277, -1.300], [-0.773, -0.267, 8.865]], "species": ["Ba", "Ba", "Sb", "Se", "Se", "O", "O"], "fractional_positions": [[0.378, 0.378, 0.757], [0.622, 0.622, 0.243], [0.000, 0.000, 0.000], [0.166, 0.166, 0.333], [0.834, 0.834, 0.667], [0.000, 0.500, 0.000], [0.500, 0.000, 0.000]], "raw_formation_energy_kj_per_mol_atoms": -165.8, "final_energy_ev_per_cell": -36.9}